{
  "formula": "TiS2Cl",
  "functional": "PBE",
  "state": "relaxed",
  "lattice_angstrom": [[1.951, 0.000, 8.511], [-0.976, 1.690, 8.511], [-0.976, -1.690, 8.511]],
  "species": ["S", "S", "Cl", "Ti"],
  "fractional_positions": [[0.914, 0.914, 0.914], [0.086, 0.086, 0.086], [0.500, 0.500, 0.500], [0.000, 0.000, 0.000]],
  "e_form_raw_ev_per_atom": 0.4798,
  "n_ef_per_ev_cell": 4.84,
  "m_tot_mub_per_fu": 0.0,
  "sg": "No. 166",
  "e_above_lowest_polymorph_mev_per_atom": 1332
}